Density functional theory data (PBE) for a relaxed Cu7Te4 crystal.

POSCAR file:
```
Cu7Te4
1.0
-5.046 5.020 1.427
-2.232 0.010 -7.929
-28.197 -30.873 7.900
Te Cu
24 42
Direct
0.236 0.489 0.766
0.764 0.511 0.234
0.207 0.527 0.941
0.201 0.750 0.864
0.761 0.250 0.972
0.218 0.469 0.109
0.208 0.750 0.202
0.792 0.250 0.798
0.218 0.031 0.109
0.236 0.250 0.860
0.239 0.750 0.028
0.791 0.750 0.967
0.764 0.750 0.140
0.799 0.250 0.136
0.207 0.973 0.941
0.793 0.027 0.059
0.793 0.473 0.059
0.236 0.011 0.766
0.756 0.750 0.800
0.244 0.250 0.200
0.782 0.969 0.891
0.209 0.250 0.033
0.764 0.989 0.234
0.782 0.531 0.891
0.573 0.250 0.229
0.571 0.750 0.854
0.375 0.573 0.159
0.329 0.024 0.997
0.420 0.992 0.216
0.417 0.503 0.887
0.625 0.427 0.841
0.670 0.250 0.910
0.417 0.997 0.887
0.393 0.250 0.802
0.580 0.492 0.784
0.375 0.927 0.159
0.117 0.750 0.801
0.870 0.750 0.029
0.571 0.492 0.945
0.673 0.750 0.079
0.571 0.008 0.945
0.329 0.476 0.997
0.420 0.508 0.216
0.429 0.250 0.146
0.330 0.750 0.090
0.700 0.021 0.173
0.580 0.008 0.784
0.429 0.508 0.055
0.429 0.750 0.974
0.427 0.750 0.771
0.880 0.250 0.862
0.883 0.250 0.199
0.607 0.750 0.198
0.583 0.003 0.113
0.583 0.497 0.113
0.300 0.521 0.827
0.571 0.250 0.026
0.327 0.250 0.921
0.625 0.073 0.841
0.671 0.976 0.003
0.429 0.992 0.055
0.671 0.524 0.003
0.700 0.479 0.173
0.130 0.250 0.971
0.300 0.979 0.827
0.120 0.750 0.138
```

Output
Space group   P2_1/m, No. 11
V   2544.3 Å³ per cell
Energy above the most stable polymorph in this dataset   21 meV per atom